Record 1
The following is a DFT calculation (PBE) of crystalline Sc2TlCd at its relaxed geometry.

Computed properties:
- Magnetic moment: 0.207 μB/atom
- Density of states at the Fermi level: 11.32 states/eV/cell
- Calculated formation energy: -5 kJ per mole of atoms
- Raw total energy: -4.038 eV per atom

```
data_Sc2TlCd
_cell_length_a 3.3464
_cell_length_b 3.3464
_cell_length_c 30.4282
_cell_angle_alpha 90.00
_cell_angle_beta 90.00
_cell_angle_gamma 120.00
_symmetry_space_group_name_H-M 'R 3 m'
_symmetry_Int_Tables_number 160
_symmetry_space_group_name_Hall 'R 3 -2"'
loop_
_atom_site_label
_atom_site_type_symbol
_atom_site_fract_x
_atom_site_fract_y
_atom_site_fract_z
Sc1 Sc 0.0000 0.0000 0.0000
Sc2 Sc 0.0000 0.0000 0.2502
Tl1 Tl 0.0000 0.0000 0.7507
Cd1 Cd 0.0000 0.0000 0.5022
```


Record 2
The following is a DFT calculation (PBE) of crystalline Sc2TlCd at its relaxed geometry.

Computed properties:
- Magnetic moment: 0.064 μB/atom
- Density of states at the Fermi level: 3.74 states/eV/cell
- Calculated formation energy: -28 kJ per mole of atoms
- Raw total energy: -4.273 eV per atom

```
data_Sc2TlCd
_cell_length_a 3.5998
_cell_length_b 3.5998
_cell_length_c 7.0029
_cell_angle_alpha 90.00
_cell_angle_beta 90.00
_cell_angle_gamma 90.00
_symmetry_space_group_name_H-M 'P 4/m m m'
_symmetry_Int_Tables_number 123
_symmetry_space_group_name_Hall '-P 4 2'
loop_
_atom_site_label
_atom_site_type_symbol
_atom_site_fract_x
_atom_site_fract_y
_atom_site_fract_z
Sc1 Sc 0.0000 0.0000 0.2441
Tl1 Tl 0.5000 0.5000 0.5000
Cd1 Cd 0.5000 0.5000 0.0000
```


Record 3
The following is a DFT calculation (PBE) of crystalline Sc8Tl5Cd at its relaxed geometry.

Computed properties:
- Magnetic moment: 0.000 μB/atom
- Density of states at the Fermi level: 39.99 states/eV/cell
- Calculated formation energy: -15 kJ per mole of atoms
- Raw total energy: -4.685 eV per atom

```
data_Sc8Tl5Cd
_cell_length_a 8.8171
_cell_length_b 8.8171
_cell_length_c 8.8322
_cell_angle_alpha 90.00
_cell_angle_beta 90.00
_cell_angle_gamma 90.00
_symmetry_space_group_name_H-M 'I -4'
_symmetry_Int_Tables_number 82
_symmetry_space_group_name_Hall 'I -4'
loop_
_atom_site_label
_atom_site_type_symbol
_atom_site_fract_x
_atom_site_fract_y
_atom_site_fract_z
Sc1 Sc 0.0699 0.3295 0.0424
Sc2 Sc 0.0808 0.1782 0.6893
Tl1 Tl 0.0000 0.5000 0.7500
Tl2 Tl 0.1282 0.2486 0.3650
Cd1 Cd 0.0000 0.0000 0.0000
```


Record 4
The following is a DFT calculation (PBE) of crystalline Sc4TlCd at its relaxed geometry.

Computed properties:
- Magnetic moment: 0.004 μB/atom
- Density of states at the Fermi level: 26.91 states/eV/cell
- Excess energy over the best structure of this formula in the dataset: 287 meV/atom
- Calculated formation energy: 8 kJ per mole of atoms
- Raw total energy: -4.681 eV per atom

```
data_Sc4TlCd
_cell_length_a 4.8527
_cell_length_b 4.8527
_cell_length_c 23.8165
_cell_angle_alpha 90.00
_cell_angle_beta 90.00
_cell_angle_gamma 120.00
_symmetry_space_group_name_H-M 'R -3 m'
_symmetry_Int_Tables_number 166
_symmetry_space_group_name_Hall '-R 3 2"'
loop_
_atom_site_label
_atom_site_type_symbol
_atom_site_fract_x
_atom_site_fract_y
_atom_site_fract_z
Sc1 Sc 0.0000 0.0000 0.1229
Sc2 Sc 0.0000 0.0000 0.3730
Tl1 Tl 0.0000 0.0000 0.5000
Cd1 Cd 0.0000 0.0000 0.0000
```


Record 5
The following is a DFT calculation (PBE) of crystalline ScTlCd4 at its relaxed geometry.

Computed properties:
- Magnetic moment: 0.000 μB/atom
- Density of states at the Fermi level: 12.36 states/eV/cell
- Calculated formation energy: 1 kJ per mole of atoms
- Raw total energy: -2.054 eV per atom

```
data_ScTlCd4
_cell_length_a 8.3207
_cell_length_b 8.3207
_cell_length_c 8.3207
_cell_angle_alpha 90.00
_cell_angle_beta 90.00
_cell_angle_gamma 90.00
_symmetry_space_group_name_H-M 'F -4 3 m'
_symmetry_Int_Tables_number 216
_symmetry_space_group_name_Hall 'F -4 2 3'
loop_
_atom_site_label
_atom_site_type_symbol
_atom_site_fract_x
_atom_site_fract_y
_atom_site_fract_z
Sc1 Sc 0.0000 0.0000 0.0000
Tl1 Tl 0.2500 0.2500 0.7500
Cd1 Cd 0.1257 0.1257 0.3743
```


Record 6
The following is a DFT calculation (PBE) of crystalline Sc5Tl3Cd at its relaxed geometry.

Computed properties:
- Magnetic moment: 0.000 μB/atom
- Density of states at the Fermi level: 16.26 states/eV/cell
- Calculated formation energy: -28 kJ per mole of atoms
- Raw total energy: -4.702 eV per atom

```
data_Sc5Tl3Cd
_cell_length_a 8.7823
_cell_length_b 8.7823
_cell_length_c 6.2702
_cell_angle_alpha 90.00
_cell_angle_beta 90.00
_cell_angle_gamma 120.00
_symmetry_space_group_name_H-M 'P 63/m c m'
_symmetry_Int_Tables_number 193
_symmetry_space_group_name_Hall '-P 6c 2'
loop_
_atom_site_label
_atom_site_type_symbol
_atom_site_fract_x
_atom_site_fract_y
_atom_site_fract_z
Sc1 Sc 0.0000 0.2946 0.2500
Sc2 Sc 0.3333 0.6667 0.0000
Tl1 Tl 0.0000 0.3699 0.7500
Cd1 Cd 0.0000 0.0000 0.0000
```


Record 7
The following is a DFT calculation (PBE) of crystalline Sc4Tl5Cd2 at its relaxed geometry.

Computed properties:
- Magnetic moment: 0.000 μB/atom
- Density of states at the Fermi level: 10.64 states/eV/cell
- Calculated formation energy: -14 kJ per mole of atoms
- Raw total energy: -3.690 eV per atom

```
data_Sc4Tl5Cd2
_cell_length_a 11.3907
_cell_length_b 4.6481
_cell_length_c 10.1339
_cell_angle_alpha 90.00
_cell_angle_beta 100.73
_cell_angle_gamma 90.00
_symmetry_space_group_name_H-M 'C 1 2/m 1'
_symmetry_Int_Tables_number 12
_symmetry_space_group_name_Hall '-C 2y'
loop_
_atom_site_label
_atom_site_type_symbol
_atom_site_fract_x
_atom_site_fract_y
_atom_site_fract_z
Sc1 Sc 0.0465 0.0000 0.3149
Sc2 Sc 0.1754 0.5000 0.7760
Tl1 Tl 0.0000 0.5000 0.5000
Tl2 Tl 0.1376 0.0000 0.9598
Tl3 Tl 0.2263 0.0000 0.5988
Cd1 Cd 0.0896 0.5000 0.1374
```


Record 8
The following is a DFT calculation (PBE) of crystalline Sc12TlCd3 at its relaxed geometry.

Computed properties:
- Magnetic moment: 0.256 μB/atom
- Density of states at the Fermi level: 21.63 states/eV/cell
- Calculated formation energy: -14 kJ per mole of atoms
- Raw total energy: -5.211 eV per atom

```
data_Sc12TlCd3
_cell_length_a 4.5146
_cell_length_b 4.5146
_cell_length_c 18.0740
_cell_angle_alpha 90.00
_cell_angle_beta 90.00
_cell_angle_gamma 90.00
_symmetry_space_group_name_H-M 'P 4/m m m'
_symmetry_Int_Tables_number 123
_symmetry_space_group_name_Hall '-P 4 2'
loop_
_atom_site_label
_atom_site_type_symbol
_atom_site_fract_x
_atom_site_fract_y
_atom_site_fract_z
Sc1 Sc 0.0000 0.0000 0.0000
Sc2 Sc 0.0000 0.0000 0.2495
Sc3 Sc 0.0000 0.0000 0.5000
Sc4 Sc 0.0000 0.5000 0.1249
Sc5 Sc 0.0000 0.5000 0.3740
Tl1 Tl 0.5000 0.5000 0.5000
Cd1 Cd 0.5000 0.5000 0.0000
Cd2 Cd 0.5000 0.5000 0.2493
```


Record 9
The following is a DFT calculation (PBE) of crystalline YSc2Tl2Cd2 at its relaxed geometry.

Computed properties:
- Magnetic moment: 0.104 μB/atom
- Density of states at the Fermi level: 15.09 states/eV/cell
- Calculated formation energy: -14 kJ per mole of atoms
- Raw total energy: -3.815 eV per atom

```
data_YSc2Tl2Cd2
_cell_length_a 4.8829
_cell_length_b 4.8829
_cell_length_c 25.2167
_cell_angle_alpha 90.00
_cell_angle_beta 90.00
_cell_angle_gamma 120.00
_symmetry_space_group_name_H-M 'R -3 m'
_symmetry_Int_Tables_number 166
_symmetry_space_group_name_Hall '-R 3 2"'
loop_
_atom_site_label
_atom_site_type_symbol
_atom_site_fract_x
_atom_site_fract_y
_atom_site_fract_z
Y1 Y 0.0000 0.0000 0.0000
Sc1 Sc 0.0000 0.0000 0.1377
Tl1 Tl 0.0000 0.0000 0.2676
Cd1 Cd 0.0000 0.0000 0.4384
```


Record 10
The following is a DFT calculation (PBE) of crystalline YScTlCd2 at its relaxed geometry.

Computed properties:
- Magnetic moment: 0.000 μB/atom
- Density of states at the Fermi level: 8.77 states/eV/cell
- Calculated formation energy: 77 kJ per mole of atoms
- Raw total energy: -2.602 eV per atom

```
data_YScTlCd2
_cell_length_a 5.7760
_cell_length_b 5.7760
_cell_length_c 5.4909
_cell_angle_alpha 90.00
_cell_angle_beta 90.00
_cell_angle_gamma 90.00
_symmetry_space_group_name_H-M 'P 4/m m m'
_symmetry_Int_Tables_number 123
_symmetry_space_group_name_Hall '-P 4 2'
loop_
_atom_site_label
_atom_site_type_symbol
_atom_site_fract_x
_atom_site_fract_y
_atom_site_fract_z
Y1 Y 0.0000 0.0000 0.0000
Sc1 Sc 0.0000 0.0000 0.5000
Tl1 Tl 0.5000 0.5000 0.5000
Cd1 Cd 0.0000 0.5000 0.0000
```


Record 11
The following is a DFT calculation (PBE) of crystalline YScTlCd at its relaxed geometry.

Computed properties:
- Magnetic moment: 0.137 μB/atom
- Density of states at the Fermi level: 16.76 states/eV/cell
- Calculated formation energy: -31 kJ per mole of atoms
- Raw total energy: -4.341 eV per atom

```
data_YScTlCd
_cell_length_a 7.3474
_cell_length_b 7.3474
_cell_length_c 7.3474
_cell_angle_alpha 90.00
_cell_angle_beta 90.00
_cell_angle_gamma 90.00
_symmetry_space_group_name_H-M 'F -4 3 m'
_symmetry_Int_Tables_number 216
_symmetry_space_group_name_Hall 'F -4 2 3'
loop_
_atom_site_label
_atom_site_type_symbol
_atom_site_fract_x
_atom_site_fract_y
_atom_site_fract_z
Y1 Y 0.0000 0.0000 0.0000
Sc1 Sc 0.0000 0.0000 0.5000
Tl1 Tl 0.2500 0.2500 0.7500
Cd1 Cd 0.2500 0.2500 0.2500
```


Record 12
The following is a DFT calculation (PBE) of crystalline Sc4TlZnCd2 at its relaxed geometry.

Computed properties:
- Magnetic moment: 0.000 μB/atom
- Density of states at the Fermi level: 24.35 states/eV/cell
- Calculated formation energy: -29 kJ per mole of atoms
- Raw total energy: -4.150 eV per atom

```
data_Sc4TlZnCd2
_cell_length_a 4.9542
_cell_length_b 4.9542
_cell_length_c 24.3957
_cell_angle_alpha 90.00
_cell_angle_beta 90.00
_cell_angle_gamma 120.00
_symmetry_space_group_name_H-M 'R -3 m'
_symmetry_Int_Tables_number 166
_symmetry_space_group_name_Hall '-R 3 2"'
loop_
_atom_site_label
_atom_site_type_symbol
_atom_site_fract_x
_atom_site_fract_y
_atom_site_fract_z
Sc1 Sc 0.0000 0.0000 0.1209
Sc2 Sc 0.0000 0.0000 0.3715
Tl1 Tl 0.0000 0.0000 0.5000
Zn1 Zn 0.0000 0.0000 0.0000
Cd1 Cd 0.0000 0.0000 0.2515
```